(1)
First-principles (SCAN) data for a crystal of CaMgSi2O6 relaxed with PBEsol, as listed in the Alexandria database.

Unit cell a=9.753 b=8.236 c=5.361 alpha=90.00 beta=90.81 gamma=90.00
Sites, in units of the cell vectors:
Ca1 0.229 0.053 0.403
Ca2 0.229 0.447 0.903
Ca3 0.771 0.553 0.097
Ca4 0.771 0.947 0.597
Mg1 0.266 0.666 0.382
Mg2 0.266 0.834 0.882
Mg3 0.734 0.166 0.118
Mg4 0.734 0.334 0.618
Si1 0.000 0.170 0.966
Si2 0.000 0.330 0.466
Si3 0.000 0.670 0.534
Si4 0.000 0.830 0.034
Si5 0.465 0.152 0.765
Si6 0.465 0.348 0.265
Si7 0.535 0.652 0.735
Si8 0.535 0.848 0.235
O1 0.087 0.227 0.705
O2 0.087 0.273 0.205
O3 0.114 0.508 0.530
O4 0.114 0.992 0.030
O5 0.129 0.690 0.062
O6 0.129 0.810 0.562
O7 0.370 0.645 0.720
O8 0.370 0.855 0.220
O9 0.382 0.512 0.216
O10 0.382 0.988 0.716
O11 0.404 0.233 0.028
O12 0.404 0.267 0.528
O13 0.596 0.733 0.472
O14 0.596 0.767 0.972
O15 0.618 0.012 0.284
O16 0.618 0.488 0.784
O17 0.630 0.145 0.780
O18 0.630 0.355 0.280
O19 0.871 0.190 0.438
O20 0.871 0.310 0.938
O21 0.886 0.008 0.970
O22 0.886 0.492 0.470
O23 0.913 0.727 0.795
O24 0.913 0.773 0.295

Output
Its space group is P2_1/c. The value obtained for the density of states at the Fermi level is 0.00 states/eV per cell. The value obtained for the formation energy without anion corrections is -3135.0 meV/atom.

(2)
First-principles (SCAN) data for a crystal of In2NiMo relaxed with PBEsol, as listed in the Alexandria database.

Unit cell a=4.312 b=4.312 c=3.523 alpha=90.00 beta=90.00 gamma=90.00
Sites, in units of the cell vectors:
In1 0.000 0.500 0.000
In2 0.500 0.000 0.000
Ni1 0.000 0.000 0.500
Mo1 0.500 0.500 0.500

Output
The relative energy among the computed polymorphs is 0 meV/atom. Its space group is P4/mmm. The value obtained for the density of states at the Fermi level is 1.89 states/eV per cell. The formation energy comes out at 0.239 eV per atom.

(3)
First-principles (SCAN) data for a crystal of CaCdIn2 relaxed with PBEsol, as listed in the Alexandria database.

Unit cell a=4.638 b=4.638 c=9.101 alpha=90.00 beta=90.00 gamma=90.00
Sites, in units of the cell vectors:
Ca1 0.000 0.000 0.000
Ca2 0.500 0.500 0.500
Cd1 0.000 0.500 0.750
Cd2 0.500 0.000 0.250
In1 0.000 0.000 0.500
In2 0.000 0.500 0.250
In3 0.500 0.000 0.750
In4 0.500 0.500 0.000

Output
Its space group is I-4m2. The value obtained for the density of states at the Fermi level is 3.30 states/eV per cell. The formation energy comes out at -0.328 eV per atom.

(4)
First-principles (SCAN) data for a crystal of Lu2NiRu relaxed with PBEsol, as listed in the Alexandria database.

Unit cell a=6.520 b=6.520 c=6.520 alpha=90.00 beta=90.00 gamma=90.00
Sites, in units of the cell vectors:
Lu1 0.250 0.250 0.250
Lu2 0.250 0.250 0.750
Lu3 0.250 0.750 0.250
Lu4 0.250 0.750 0.750
Lu5 0.750 0.250 0.250
Lu6 0.750 0.250 0.750
Lu7 0.750 0.750 0.250
Lu8 0.750 0.750 0.750
Ni1 0.000 0.000 0.000
Ni2 0.000 0.500 0.500
Ni3 0.500 0.000 0.500
Ni4 0.500 0.500 0.000
Ru1 0.000 0.000 0.500
Ru2 0.000 0.500 0.000
Ru3 0.500 0.000 0.000
Ru4 0.500 0.500 0.500

Output
Its space group is Fm-3m. The value obtained for the density of states at the Fermi level is 6.66 states/eV per cell. The formation energy comes out at -0.609 eV per atom.